Entry 1:
NdSiPd2: optimized geometry, PBEsol.

Lattice parameters (Å, degrees): 7.457 6.873 5.611 90.00 90.00 90.00
Space group Pnma (No. 62)
Symmetry-distinct sites (fractional):
Nd (0.031, 0.250, 0.143) [4 per cell]
Si (0.123, 0.750, 0.353) [4 per cell]
Pd (0.174, 0.053, 0.593) [8 per cell]

Calculated values
As for the density of states at the Fermi level: 0.405 states/eV per atom. For the formation energy from raw total energies, the calculation gives -0.951 eV/atom.


Entry 2:
NdSi2Pd2: optimized geometry, PBEsol.

Lattice parameters (Å, degrees): 4.175 4.175 9.904 90.00 90.00 90.00
Space group I4/mmm (No. 139)
Symmetry-distinct sites (fractional):
Nd (0.000, 0.000, 0.000) [2 per cell]
Si (0.000, 0.000, 0.381) [4 per cell]
Pd (0.000, 0.500, 0.250) [4 per cell]

Calculated values
As for the density of states at the Fermi level: 0.500 states/eV per atom. For the formation energy from raw total energies, the calculation gives -1.003 eV/atom.


Entry 3:
NdSnPd: optimized geometry, PBEsol.

Lattice parameters (Å, degrees): 7.396 4.648 7.906 90.00 90.00 90.00
Space group Pnma (No. 62)
Symmetry-distinct sites (fractional):
Nd (0.012, 0.250, 0.200) [4 per cell]
Sn (0.186, 0.250, 0.587) [4 per cell]
Pd (0.201, 0.750, 0.415) [4 per cell]

Calculated values
As for the density of states at the Fermi level: 0.710 states/eV per atom. For the formation energy, the calculation gives -89.96 kJ per mole of atoms.


Entry 4:
NdSnPd: optimized geometry, PBEsol.

Lattice parameters (Å, degrees): 7.5268 7.5268 4.0843 90.00 90.00 120.00
Space group P-62m (No. 189)
Symmetry-distinct sites (fractional):
Nd (0.0000, 0.4121, 0.0000) [3 per cell]
Sn (0.0000, 0.7482, 0.5000) [3 per cell]
Pd (0.0000, 0.0000, 0.0000) [1 per cell]
Pd (0.3333, 0.6667, 0.5000) [2 per cell]

Calculated values
As for the density of states at the Fermi level: 0.337 states/eV per atom. For the formation energy, the calculation gives -91.18 kJ per mole of atoms.


Entry 5:
NdTlPd: optimized geometry, PBEsol.

Lattice parameters (Å, degrees): 7.7749 7.7749 3.9061 90.00 90.00 120.00
Space group P-62m (No. 189)
Symmetry-distinct sites (fractional):
Nd (0.0000, 0.4059, 0.0000) [3 per cell]
Tl (0.0000, 0.7386, 0.5000) [3 per cell]
Pd (0.0000, 0.0000, 0.0000) [1 per cell]
Pd (0.3333, 0.6667, 0.5000) [2 per cell]

Calculated values
As for the density of states at the Fermi level: 0.769 states/eV per atom. For the formation energy, the calculation gives -65.50 kJ per mole of atoms.


Entry 6:
Nd6Zn4Pd13: optimized geometry, PBEsol.

Lattice parameters (Å, degrees): 9.509 9.509 9.509 90.00 90.00 90.00
Space group Im-3m (No. 229)
Symmetry-distinct sites (fractional):
Nd (0.000, 0.000, 0.302) [12 per cell]
Zn (0.250, 0.250, 0.250) [8 per cell]
Pd (0.000, 0.000, 0.000) [2 per cell]
Pd (0.000, 0.332, 0.332) [24 per cell]

Calculated values
As for the density of states at the Fermi level: 0.343 states/eV per atom. For the formation energy, the calculation gives -75.16 kJ per mole of atoms.


Entry 7:
PmNd3: optimized geometry, PBEsol.

Lattice parameters (Å, degrees): 5.079 5.079 5.079 90.00 90.00 90.00
Space group Pm-3m (No. 221)
Symmetry-distinct sites (fractional):
Pm (0.000, 0.000, 0.000) [1 per cell]
Nd (0.000, 0.500, 0.500) [3 per cell]

Calculated values
As for the density of states at the Fermi level: 1.552 states/eV per atom. For the formation energy, the calculation gives 0.64 kJ per mole of atoms. The polymorph energy (0 for the lowest one) is 0 meV/atom.


Entry 8:
Pm3Nd: optimized geometry, PBEsol.

Lattice parameters (Å, degrees): 5.059 5.059 10.107 90.00 90.00 90.00
Space group I4/mmm (No. 139)
Symmetry-distinct sites (fractional):
Pm (0.000, 0.000, 0.000) [2 per cell]
Pm (0.000, 0.500, 0.250) [4 per cell]
Nd (0.000, 0.000, 0.500) [2 per cell]

Calculated values
As for the density of states at the Fermi level: 1.533 states/eV per atom. For the formation energy, the calculation gives 0.71 kJ per mole of atoms. The polymorph energy (0 for the lowest one) is 0 meV/atom.


Entry 9:
PmNd3: optimized geometry, PBEsol.

Lattice parameters (Å, degrees): 7.2021 7.2021 5.8591 90.00 90.00 120.00
Space group P6_3/mmc (No. 194)
Symmetry-distinct sites (fractional):
Pm (0.3333, 0.6667, 0.2500) [2 per cell]
Nd (0.1667, 0.3334, 0.7500) [6 per cell]

Calculated values
As for the density of states at the Fermi level: 1.629 states/eV per atom. For the formation energy, the calculation gives 2.92 kJ per mole of atoms. The polymorph energy (0 for the lowest one) is 24 meV/atom.


Entry 10:
PmNd: optimized geometry, PBEsol.

Lattice parameters (Å, degrees): 3.5949 3.5949 5.8412 90.00 90.00 120.00
Space group P-6m2 (No. 187)
Symmetry-distinct sites (fractional):
Pm (0.0000, 0.0000, 0.0000) [1 per cell]
Nd (0.6667, 0.3333, 0.5000) [1 per cell]

Calculated values
As for the density of states at the Fermi level: 1.637 states/eV per atom. For the formation energy, the calculation gives 2.94 kJ per mole of atoms.


Entry 11:
PmNd3: optimized geometry, PBEsol.

Lattice parameters (Å, degrees): 5.081 5.081 10.151 90.00 90.00 90.00
Space group I4/mmm (No. 139)
Symmetry-distinct sites (fractional):
Pm (0.000, 0.000, 0.000) [2 per cell]
Nd (0.000, 0.000, 0.500) [2 per cell]
Nd (0.000, 0.500, 0.250) [4 per cell]

Calculated values
As for the density of states at the Fermi level: 1.567 states/eV per atom. For the formation energy, the calculation gives 0.66 kJ per mole of atoms. The polymorph energy (0 for the lowest one) is 0 meV/atom.


Entry 12:
Pm3Nd: optimized geometry, PBEsol.

Lattice parameters (Å, degrees): 7.1793 7.1793 5.8211 90.00 90.00 120.00
Space group P6_3/mmc (No. 194)
Symmetry-distinct sites (fractional):
Pm (0.1666, 0.3331, 0.2500) [6 per cell]
Nd (0.3333, 0.6667, 0.7500) [2 per cell]

Calculated values
As for the density of states at the Fermi level: 1.645 states/eV per atom. For the formation energy, the calculation gives 2.89 kJ per mole of atoms. The polymorph energy (0 for the lowest one) is 23 meV/atom.


Entry 13:
PmNdRu2: optimized geometry, PBEsol.

Lattice parameters (Å, degrees): 6.880 6.880 6.880 90.00 90.00 90.00
Space group Fm-3m (No. 225)
Symmetry-distinct sites (fractional):
Pm (0.000, 0.000, 0.000) [4 per cell]
Nd (0.000, 0.000, 0.500) [4 per cell]
Ru (0.250, 0.250, 0.250) [8 per cell]

Calculated values
As for the density of states at the Fermi level: 0.691 states/eV per atom. For the formation energy, the calculation gives -1.43 kJ per mole of atoms.


Entry 14:
PmNdTl2: optimized geometry, PBEsol.

Lattice parameters (Å, degrees): 7.641 7.641 7.641 90.00 90.00 90.00
Space group Fm-3m (No. 225)
Symmetry-distinct sites (fractional):
Pm (0.000, 0.000, 0.000) [4 per cell]
Nd (0.000, 0.000, 0.500) [4 per cell]
Tl (0.250, 0.250, 0.250) [8 per cell]

Calculated values
As for the density of states at the Fermi level: 0.844 states/eV per atom. For the formation energy, the calculation gives -44.00 kJ per mole of atoms.


Entry 15:
PrNd: optimized geometry, PBEsol.

Lattice parameters (Å, degrees): 3.6188 3.6188 5.9182 90.00 90.00 120.00
Space group P-6m2 (No. 187)
Symmetry-distinct sites (fractional):
Pr (0.0000, 0.0000, 0.0000) [1 per cell]
Nd (0.6667, 0.3333, 0.5000) [1 per cell]

Calculated values
As for the density of states at the Fermi level: 1.602 states/eV per atom. For the formation energy, the calculation gives 2.97 kJ per mole of atoms. The polymorph energy (0 for the lowest one) is 33 meV/atom.


Entry 16:
PrNd: optimized geometry, PBEsol.

Lattice parameters (Å, degrees): 3.6296 3.6296 11.7070 90.00 90.00 120.00
Space group P6_3/mmc (No. 194)
Symmetry-distinct sites (fractional):
Pr (0.0000, 0.0000, 0.0000) [2 per cell]
Nd (0.3333, 0.6667, 0.2500) [2 per cell]

Calculated values
As for the density of states at the Fermi level: 1.273 states/eV per atom. For the formation energy, the calculation gives -0.25 kJ per mole of atoms. The polymorph energy (0 for the lowest one) is 0 meV/atom.


Entry 17:
PrNdSb2: optimized geometry, PBEsol.

Lattice parameters (Å, degrees): 4.4721 4.4721 21.9109 90.00 90.00 120.00
Space group R-3m (No. 166, hexagonal axes)
Symmetry-distinct sites (fractional):
Pr (0.0000, 0.0000, 0.0000) [3 per cell]
Nd (0.0000, 0.0000, 0.5000) [3 per cell]
Sb (0.0000, 0.0000, 0.2493) [6 per cell]

Calculated values
As for the density of states at the Fermi level: 0.154 states/eV per atom. For the formation energy from raw total energies, the calculation gives -1.198 eV/atom.


Entry 18:
Pr2Nd2Sb3: optimized geometry, PBEsol.

Lattice parameters (Å, degrees): 9.407 9.407 9.407 90.00 90.00 90.00
Space group I2_13 (No. 199)
Symmetry-distinct sites (fractional):
Pr (0.072, 0.072, 0.072) [8 per cell]
Nd (0.179, 0.321, 0.679) [8 per cell]
Sb (0.000, 0.250, 0.377) [12 per cell]

Calculated values
As for the density of states at the Fermi level: 0.933 states/eV per atom. For the formation energy from raw total energies, the calculation gives -1.100 eV/atom.


Entry 19:
PrNdSb4: optimized geometry, PBEsol.

Lattice parameters (Å, degrees): 6.103 6.233 17.995 90.00 90.02 90.00
Space group C2/m (No. 12)
Symmetry-distinct sites (fractional):
Pr (0.137, 0.000, 0.111) [4 per cell]
Nd (0.138, 0.500, 0.390) [4 per cell]
Sb (0.126, 0.250, 0.749) [8 per cell]
Sb (0.135, 0.500, 0.064) [4 per cell]
Sb (0.136, 0.000, 0.436) [4 per cell]

Calculated values
As for the density of states at the Fermi level: 0.304 states/eV per atom. For the formation energy from raw total energies, the calculation gives -0.848 eV/atom.


Entry 20:
PrNdSb: optimized geometry, PBEsol.

Lattice parameters (Å, degrees): 4.518 4.518 17.638 90.00 90.00 90.00
Space group I4/mmm (No. 139)
Symmetry-distinct sites (fractional):
Pr (0.000, 0.000, 0.179) [4 per cell]
Nd (0.000, 0.500, 0.000) [4 per cell]
Sb (0.000, 0.000, 0.363) [4 per cell]

Calculated values
As for the density of states at the Fermi level: 1.328 states/eV per atom. For the formation energy from raw total energies, the calculation gives -0.894 eV/atom.


Entry 21:
PrNdTl2: optimized geometry, PBEsol.

Lattice parameters (Å, degrees): 7.692 7.692 7.692 90.00 90.00 90.00
Space group Fm-3m (No. 225)
Symmetry-distinct sites (fractional):
Pr (0.000, 0.000, 0.000) [4 per cell]
Nd (0.000, 0.000, 0.500) [4 per cell]
Tl (0.250, 0.250, 0.250) [8 per cell]

Calculated values
As for the density of states at the Fermi level: 0.883 states/eV per atom. For the formation energy, the calculation gives -44.06 kJ per mole of atoms.


Entry 22:
PrNdZn2: optimized geometry, PBEsol.

Lattice parameters (Å, degrees): 7.253 7.253 7.253 90.00 90.00 90.00
Space group Fm-3m (No. 225)
Symmetry-distinct sites (fractional):
Pr (0.000, 0.000, 0.000) [4 per cell]
Nd (0.000, 0.000, 0.500) [4 per cell]
Zn (0.250, 0.250, 0.250) [8 per cell]

Calculated values
As for the density of states at the Fermi level: 0.972 states/eV per atom. For the formation energy, the calculation gives -28.50 kJ per mole of atoms.


Entry 23:
Nd3Pt4: optimized geometry, PBEsol.

Lattice parameters (Å, degrees): 13.4810 13.4810 5.7480 90.00 90.00 120.00
Space group R-3 (No. 148, hexagonal axes)
Symmetry-distinct sites (fractional):
Nd (0.0440, 0.8342, 0.2392) [18 per cell]
Pt (0.0000, 0.0000, 0.0000) [3 per cell]
Pt (0.0000, 0.0000, 0.5000) [3 per cell]
Pt (0.0565, 0.6103, 0.3894) [18 per cell]

Calculated values
As for the density of states at the Fermi level: 0.382 states/eV per atom. For the formation energy, the calculation gives -99.12 kJ per mole of atoms.


Entry 24:
NdPt: optimized geometry, PBEsol.

Lattice parameters (Å, degrees): 3.857 10.733 4.500 90.00 90.00 90.00
Space group Cmcm (No. 63)
Symmetry-distinct sites (fractional):
Nd (0.000, 0.138, 0.250) [4 per cell]
Pt (0.000, 0.413, 0.250) [4 per cell]

Calculated values
As for the density of states at the Fermi level: 0.624 states/eV per atom. For the formation energy, the calculation gives -104.23 kJ per mole of atoms.


Entry 25:
NdPt5: optimized geometry, PBEsol.

Lattice parameters (Å, degrees): 5.3413 5.3413 4.3729 90.00 90.00 120.00
Space group P6/mmm (No. 191)
Symmetry-distinct sites (fractional):
Nd (0.0000, 0.0000, 0.0000) [1 per cell]
Pt (0.0000, 0.5000, 0.5000) [3 per cell]
Pt (0.3333, 0.6667, 0.0000) [2 per cell]

Calculated values
As for the density of states at the Fermi level: 0.711 states/eV per atom. For the formation energy, the calculation gives -65.87 kJ per mole of atoms.